# 1
A plane-wave DFT calculation with PBE was carried out for a geometry-optimized Dy5RuAu2 structure.

Calculated values
* ΔH_f (0 K): -0.594 eV per atom
* space group: Pbam
* calculated density: 10773 kg/m³

Unit cell a=7.3947 b=11.6784 c=4.6674 alpha=90.00 beta=90.00 gamma=90.00
Sites, in units of the cell vectors:
Dy 0.0000 0.0000 0.0000
Dy 0.1536 0.2949 0.0000
Dy 0.1804 0.5833 0.5000
Dy 0.3196 0.0833 0.5000
Dy 0.3464 0.7949 0.0000
Dy 0.5000 0.5000 0.0000
Dy 0.6536 0.2051 0.0000
Dy 0.6804 0.9167 0.5000
Dy 0.8196 0.4167 0.5000
Dy 0.8464 0.7051 0.0000
Ru 0.0000 0.5000 0.0000
Ru 0.5000 0.0000 0.0000
Au 0.0673 0.8358 0.5000
Au 0.4327 0.3358 0.5000
Au 0.5673 0.6642 0.5000
Au 0.9327 0.1642 0.5000


# 2
A plane-wave DFT calculation with PBE was carried out for a geometry-optimized DyThRuAu structure.

Calculated values
* ΔH_f (0 K): -0.505 eV per atom
* space group: F-43m
* calculated density: 12539 kg/m³

Unit cell a=5.0620 b=5.0620 c=5.0620 alpha=60.00 beta=60.00 gamma=60.00
Sites, in units of the cell vectors:
Dy 0.0000 0.0000 0.0000
Th 0.5000 0.5000 0.5000
Ru 0.7500 0.7500 0.7500
Au 0.2500 0.2500 0.2500


# 3
A plane-wave DFT calculation with PBE was carried out for a geometry-optimized DyYRuAu structure.

Calculated values
* ΔE to the lowest computed polymorph: 0 meV/atom
* ΔH_f (0 K): -0.643 eV per atom
* space group: P4mm
* calculated density: 10561 kg/m³

Unit cell a=3.4468 b=3.4468 c=7.2716 alpha=90.00 beta=90.00 gamma=90.00
Sites, in units of the cell vectors:
Dy 0.0000 0.0000 0.0000
Y 0.0000 0.0000 0.4616
Ru 0.5000 0.5000 0.2280
Au 0.5000 0.5000 0.7328